! SrH16O10 PBE-GGA optimized geometry; values from VASP
&SYSTEM
  ibrav = 0, nat = 54, ntyp = 3
/
ATOMIC_SPECIES
Sr 87.62 Sr.upf
H 1.01 H.upf
O 16.00 O.upf
CELL_PARAMETERS angstrom
4.519 -4.592 0.000
4.519 4.592 0.000
-0.316 0.000 11.136
ATOMIC_POSITIONS crystal
Sr 0.010 0.990 0.500
Sr 0.990 0.010 0.000
H 0.052 0.569 0.372
H 0.072 0.391 0.515
H 0.116 0.323 0.779
H 0.157 0.700 0.215
H 0.275 0.378 0.886
H 0.280 0.622 0.101
H 0.291 0.417 0.586
H 0.298 0.611 0.394
H 0.323 0.116 0.279
H 0.325 0.877 0.796
H 0.378 0.275 0.386
H 0.391 0.072 0.015
H 0.398 0.728 0.902
H 0.400 0.740 0.607
H 0.417 0.291 0.086
H 0.464 0.977 0.622
H 0.569 0.052 0.872
H 0.569 0.968 0.132
H 0.611 0.298 0.894
H 0.617 0.729 0.105
H 0.622 0.280 0.601
H 0.636 0.714 0.396
H 0.700 0.157 0.715
H 0.711 0.848 0.285
H 0.714 0.636 0.896
H 0.728 0.398 0.402
H 0.729 0.617 0.605
H 0.740 0.400 0.107
H 0.848 0.711 0.785
H 0.877 0.325 0.296
H 0.968 0.569 0.632
H 0.977 0.464 0.122
O 0.138 0.362 0.593
O 0.144 0.686 0.126
O 0.152 0.286 0.862
O 0.160 0.681 0.371
O 0.286 0.152 0.362
O 0.342 0.872 0.885
O 0.343 0.878 0.632
O 0.362 0.138 0.093
O 0.496 0.506 0.932
O 0.505 0.508 0.067
O 0.506 0.496 0.432
O 0.508 0.505 0.567
O 0.681 0.160 0.871
O 0.684 0.867 0.132
O 0.686 0.144 0.626
O 0.722 0.838 0.374
O 0.838 0.722 0.874
O 0.867 0.684 0.632
O 0.872 0.342 0.385
O 0.878 0.343 0.132
! - polymorph energy (0 for the lowest one) (meV/atom) = 26



! CdAsS PBE-GGA optimized geometry; values from VASP
&SYSTEM
  ibrav = 0, nat = 3, ntyp = 3
/
ATOMIC_SPECIES
Cd 112.41 Cd.upf
As 74.92 As.upf
S 32.06 S.upf
CELL_PARAMETERS angstrom
3.665 -2.085 0.000
3.665 2.085 0.000
-2.446 0.000 4.937
ATOMIC_POSITIONS crystal
Cd 0.000 0.000 0.000
As 0.419 0.419 0.265
S 0.570 0.570 0.711
! - polymorph energy (0 for the lowest one) (meV/atom) = 242
! - formation energy from raw total energies (eV per atom) = -0.076



! InTc2As PBE-GGA optimized geometry; values from VASP
&SYSTEM
  ibrav = 0, nat = 4, ntyp = 3
/
ATOMIC_SPECIES
In 114.82 In.upf
Tc 98.00 Tc.upf
As 74.92 As.upf
CELL_PARAMETERS angstrom
-1.999 1.999 4.130
1.999 -1.999 4.130
1.999 1.999 -4.130
ATOMIC_POSITIONS crystal
In 0.000 0.000 0.000
Tc 0.250 0.750 0.500
Tc 0.500 0.500 0.000
As 0.750 0.250 0.500
! - polymorph energy (0 for the lowest one) (meV/atom) = 425



DFT (PBE-GGA) results for a relaxed structure of Dy7Y3Th2. Values from VASP.

The structure in Quantum ESPRESSO input format:
```
&SYSTEM
  ibrav = 0, nat = 12, ntyp = 3
/
ATOMIC_SPECIES
Dy 162.50 Dy.upf
Y 88.91 Y.upf
Th 232.04 Th.upf
CELL_PARAMETERS angstrom
3.639 0.000 0.000
0.000 5.596 0.000
-1.828 0.000 20.412
ATOMIC_POSITIONS crystal
Dy 0.000 0.000 0.000
Dy 0.067 0.500 0.132
Dy 0.286 0.500 0.571
Dy 0.415 0.000 0.832
Dy 0.585 0.000 0.168
Dy 0.714 0.500 0.429
Dy 0.933 0.500 0.868
Y 0.171 0.000 0.341
Y 0.500 0.500 0.000
Y 0.829 0.000 0.659
Th 0.362 0.500 0.725
Th 0.638 0.500 0.275
```



So what do the calculations give for total magnetization? Going down the list: 0.005, 0.000, 0.000, 0.000 μB/atom.
So what do the calculations give for E? Going down the list: -5.03, -3.31, -6.57, -5.26 eV per atom.
So what do the calculations give for density of states at the Fermi level? Going down the list: 0.0, 1.0, 3.4, 21.3 states/eV/cell.